Computed, not measured: crystalline BaTl3Pb3 at its relaxed geometry at the PBE level of DFT.

Results
DFT total energy: -0.0920 Ha/atom
V: 832.80 Å³ per cell
ΔE to the lowest computed polymorph: 3.523 eV/f.u.

Unit cell a=10.561 b=10.561 c=10.561 alpha=60.00 beta=60.00 gamma=60.00
Positions (direct):
Ba  0.250  0.250  0.250
Ba  0.750  0.750  0.750
Tl  0.150  0.150  0.850
Tl  0.150  0.850  0.150
Tl  0.150  0.850  0.850
Tl  0.850  0.150  0.150
Tl  0.850  0.150  0.850
Tl  0.850  0.850  0.150
Pb  0.349  0.349  0.651
Pb  0.349  0.651  0.349
Pb  0.349  0.651  0.651
Pb  0.651  0.349  0.349
Pb  0.651  0.349  0.651
Pb  0.651  0.651  0.349